Record 1
Crystalline BeZnFe2 at its relaxed geometry. Source: the Alexandria database, functional PBE.

Calculated values
V (Å³/f.u.): 44.87
ΔH_f (0 K) (eV/atom): -0.0062
Raw total energy (eV/atom): -5.488
E above lowest polymorph (meV per atom): 71.6

Geometry as POSCAR:
```
BeZnFe2
1.0
-1.604 -2.730 -1.480
1.833 0.513 -2.931
2.635 -2.230 1.257
Zn Fe Be
1 2 1
direct
0.500 0.000 0.500
0.000 0.000 0.000
0.500 0.500 0.000
0.000 0.500 0.500
```


Record 2
Crystalline Y2ErAl6 at its relaxed geometry. Source: the Alexandria database, functional PBE.

Calculated values
V (Å³/f.u.): 187.46
ΔH_f (0 K) (eV/atom): -0.5024
Raw total energy (eV/atom): -4.941

Geometry as POSCAR:
```
Y2ErAl6
1.0
-1.751 2.157 2.079
-2.830 3.796 -6.322
-3.958 -6.129 3.026
Al Y Er
6 2 1
direct
0.500 0.667 0.000
0.500 0.667 0.667
0.500 0.000 0.333
0.500 0.000 0.667
0.500 0.333 0.333
0.500 0.333 0.000
0.000 0.333 0.667
0.000 0.667 0.333
0.000 0.000 0.000
```


Record 3
Crystalline Al2TlPdSe at its relaxed geometry. Source: the Alexandria database, functional PBE.

Calculated values
V (Å³/f.u.): 124.04
Formation energy from raw total energies (eV per atom): -0.04
Raw total energy (eV/atom): -3.747

Geometry as POSCAR:
```
Al2TlPdSe
1.0
4.768 0.000 0.000
0.000 5.455 0.000
0.000 0.000 4.768
Se Al Pd Tl
1 2 1 1
direct
0.000 0.500 0.000
0.000 0.000 0.500
0.500 0.000 0.000
0.000 0.000 0.000
0.500 0.500 0.500
```